The following is a GGA-PBE calculation of a relaxed structure of Y2Be4GaIr3, from the Alexandria database.

```
Y2Be4GaIr3
1.0
3.870 0.000 0.000
0.000 3.870 0.000
0.000 0.000 10.027
Be Ir Y Ga
4 3 2 1
direct
0.000 0.000 0.000
0.000 0.500 0.361
0.500 0.000 0.639
0.500 0.500 0.000
0.000 0.000 0.500
0.000 0.500 0.125
0.500 0.000 0.875
0.000 0.500 0.758
0.500 0.000 0.242
0.500 0.500 0.500
```

Total magnetic moment: 0.00 μB per cell
Energy of formation from the pure elements: -0.5788 eV per atom
DOS(E_F): 3.0 states/eV/f.u.
Total energy: -6.323 eV/atom
Space-group type: P-4m2, No. 115
Volume: 15.02 Å³/atom